Below is an optimized crystal structure of Sm2Rh2O7, with properties calculated at the PBE-GGA level.

Computed properties:
N(E_F): 0.54 states/eV per atom
space group: Fd-3m, No. 227
E_tot: -162.0 eV/cell
V: 12.65 Å³/atom
magnetic moment: 0.113 μB per atom

The structure in POSCAR format:
```
Sm2Rh2O7
1.0
0.000 5.181 5.181
5.181 0.000 5.181
5.181 5.181 0.000
Sm Rh O
4 4 14
Direct
0.000 0.000 0.000
0.000 0.000 0.500
0.000 0.500 0.000
0.500 0.000 0.000
0.000 0.500 0.500
0.500 0.000 0.500
0.500 0.500 0.000
0.500 0.500 0.500
0.125 0.125 0.125
0.166 0.166 0.584
0.166 0.584 0.166
0.166 0.584 0.584
0.416 0.416 0.834
0.416 0.834 0.416
0.416 0.834 0.834
0.584 0.166 0.166
0.584 0.166 0.584
0.584 0.584 0.166
0.834 0.416 0.416
0.834 0.416 0.834
0.834 0.834 0.416
0.875 0.875 0.875
```